No. 1
Here is a geometry-optimized Nd2Th2C3 structure from Alexandria. Energies are from GGA-PBE.

POSCAR file:
```
Nd2Th2C3
1.0
0.205 2.841 2.454
-5.530 2.496 -2.427
-2.422 -5.152 3.286
Th C Nd
2 3 2
Direct
0.374 0.117 0.748
0.626 0.883 0.252
0.255 0.770 0.510
0.745 0.230 0.490
0.000 0.000 0.000
0.865 0.639 0.730
0.135 0.361 0.270
```

Properties
Its raw total energy is -7.6087 eV/atom. The density comes out at 8.61 Mg/m³. For the calculated volume, the calculation gives 21.74 A^3/atom. The space group is C2/m, No. 12.

***

No. 2
Here is a geometry-optimized NdTh2C2 structure from Alexandria. Energies are from GGA-PBE.

POSCAR file:
```
NdTh2C2
1.0
4.958 0.000 1.935
1.631 5.473 3.139
-0.400 0.361 8.343
C Nd Th
4 2 4
Direct
0.495 0.745 0.265
0.845 0.739 0.572
0.505 0.255 0.735
0.155 0.261 0.428
0.342 0.224 0.091
0.658 0.776 0.909
0.005 0.729 0.262
0.664 0.249 0.422
0.995 0.271 0.738
0.336 0.751 0.578
```

Properties
Its raw total energy is -7.8110 eV/atom. The density comes out at 9.29 Mg/m³. For the calculated volume, the calculation gives 22.61 A^3/atom. The space group is C2/m, No. 12.

***

No. 3
Here is a geometry-optimized NdTh3C3 structure from Alexandria. Energies are from GGA-PBE.

POSCAR file:
```
NdTh3C3
1.0
-4.453 0.435 2.819
-2.500 -3.111 -3.470
1.373 -4.255 2.825
C Th Nd
3 3 1
Direct
0.043 0.543 0.043
0.543 0.043 0.043
0.043 0.043 0.543
0.543 0.543 0.043
0.043 0.543 0.543
0.543 0.043 0.543
0.043 0.043 0.043
```

Properties
Its raw total energy is -7.9350 eV/atom. The density comes out at 9.84 Mg/m³. For the calculated volume, the calculation gives 21.13 A^3/atom. The space group is Pm-3m, No. 221.

***

No. 4
Here is a geometry-optimized Nd2ThC structure from Alexandria. Energies are from GGA-PBE.

POSCAR file:
```
Nd2ThC
1.0
3.591 0.000 0.000
1.795 3.110 0.000
1.795 1.037 10.174
Nd Th C
2 1 1
Direct
0.880 0.880 0.359
0.120 0.120 0.641
0.000 0.000 0.000
0.500 0.500 0.500
```

Properties
Its raw total energy is -6.4441 eV/atom. The density comes out at 7.78 Mg/m³. For the calculated volume, the calculation gives 28.40 A^3/atom. The space group is R-3m, No. 166.

***

No. 5
Here is a geometry-optimized NdTh5C4 structure from Alexandria. Energies are from GGA-PBE.

POSCAR file:
```
NdTh5C4
1.0
3.715 0.000 0.000
0.000 7.630 0.091
-1.857 -1.920 7.887
Th C Nd
5 4 1
Direct
0.837 0.155 0.675
0.839 0.692 0.678
0.500 0.500 0.000
0.163 0.845 0.325
0.161 0.308 0.322
0.328 0.916 0.656
0.672 0.084 0.344
0.005 0.266 0.011
0.995 0.734 0.989
0.500 0.000 0.000
```

Properties
Its raw total energy is -8.0899 eV/atom. The density comes out at 10.02 Mg/m³. For the calculated volume, the calculation gives 22.42 A^3/atom. The space group is C2/m, No. 12.

***

No. 6
Here is a geometry-optimized Nd2ThC2 structure from Alexandria. Energies are from GGA-PBE.

POSCAR file:
```
Nd2ThC2
1.0
3.682 0.000 0.626
1.788 3.219 0.626
0.178 0.105 10.100
C Th Nd
2 1 2
Direct
0.388 0.388 0.837
0.612 0.612 0.163
0.000 0.000 0.000
0.234 0.234 0.299
0.766 0.766 0.701
```

Properties
Its raw total energy is -7.2684 eV/atom. The density comes out at 7.58 Mg/m³. For the calculated volume, the calculation gives 23.85 A^3/atom. The space group is R-3m, No. 166.

***

No. 7
Here is a geometry-optimized NdTh2C structure from Alexandria. Energies are from GGA-PBE.

POSCAR file:
```
NdTh2C
1.0
3.608 0.000 0.000
1.804 3.124 0.000
1.804 1.041 9.930
C Nd Th
1 1 2
Direct
0.500 0.500 0.500
0.000 0.000 0.000
0.117 0.117 0.648
0.883 0.883 0.352
```

Properties
Its raw total energy is -7.2474 eV/atom. The density comes out at 9.20 Mg/m³. For the calculated volume, the calculation gives 27.98 A^3/atom. The space group is R-3m, No. 166.

***

No. 8
Here is a geometry-optimized Nd2Th3C4 structure from Alexandria. Energies are from GGA-PBE.

POSCAR file:
```
Nd2Th3C4
1.0
3.654 0.000 0.899
1.623 6.223 1.280
-0.141 0.522 8.449
Th C Nd
3 4 2
Direct
0.000 0.000 0.000
0.204 0.400 0.192
0.796 0.600 0.808
0.803 0.099 0.295
0.197 0.901 0.705
0.612 0.690 0.085
0.388 0.310 0.915
0.608 0.173 0.611
0.392 0.827 0.389
```

Properties
Its raw total energy is -7.8346 eV/atom. The density comes out at 8.97 Mg/m³. For the calculated volume, the calculation gives 21.25 A^3/atom. The space group is C2/m, No. 12.

***

No. 9
Here is a geometry-optimized NdTh2TlC structure from Alexandria. Energies are from GGA-PBE.

POSCAR file:
```
NdTh2TlC
1.0
5.204 0.000 0.000
0.000 5.066 0.000
0.000 0.000 5.066
C Th Tl Nd
1 2 1 1
Direct
0.000 0.000 0.000
0.000 0.000 0.500
0.000 0.500 0.000
0.500 0.500 0.500
0.500 0.000 0.000
```

Properties
Its raw total energy is -6.5034 eV/atom. The density comes out at 10.26 Mg/m³. For the calculated volume, the calculation gives 26.71 A^3/atom. The space group is P4/mmm, No. 123.

***

No. 10
Here is a geometry-optimized NdTh2WC4 structure from Alexandria. Energies are from GGA-PBE.

POSCAR file:
```
NdTh2WC4
1.0
3.652 0.000 0.000
-1.826 6.235 0.000
0.000 0.000 12.864
C Th Nd W
8 4 2 2
Direct
0.583 0.166 0.250
0.000 0.000 0.500
0.736 0.472 0.632
0.000 0.000 0.000
0.264 0.528 0.132
0.417 0.834 0.750
0.736 0.472 0.868
0.264 0.528 0.368
0.368 0.737 0.961
0.632 0.263 0.039
0.368 0.737 0.539
0.632 0.263 0.461
0.105 0.210 0.750
0.895 0.790 0.250
0.835 0.670 0.750
0.165 0.330 0.250
```

Properties
Its raw total energy is -8.7383 eV/atom. The density comes out at 9.53 Mg/m³. For the calculated volume, the calculation gives 18.31 A^3/atom. The space group is Cmcm, No. 63.

***

No. 11
Here is a geometry-optimized NdTiC2 structure from Alexandria. Energies are from GGA-PBE.

POSCAR file:
```
NdTiC2
1.0
-0.120 -3.288 0.766
0.070 -2.312 -2.462
5.648 -2.005 -0.275
C Nd Ti
2 1 1
Direct
0.732 0.732 0.803
0.268 0.268 0.197
0.500 0.500 0.500
0.000 0.000 0.000
```

Properties
Its raw total energy is -7.8177 eV/atom. The density comes out at 6.40 Mg/m³. For the calculated volume, the calculation gives 14.02 A^3/atom. The space group is R-3m, No. 166.

***

No. 12
Here is a geometry-optimized NdTi2C structure from Alexandria. Energies are from GGA-PBE.

POSCAR file:
```
NdTi2C
1.0
-2.801 1.403 0.186
-2.623 -1.720 -0.063
-1.573 -0.778 8.630
Ti Nd C
2 1 1
Direct
0.124 0.124 0.629
0.876 0.876 0.371
0.000 0.000 0.000
0.500 0.500 0.500
```

Properties
Its raw total energy is -7.6672 eV/atom. The density comes out at 5.69 Mg/m³. For the calculated volume, the calculation gives 18.37 A^3/atom. The space group is R-3m, No. 166.